Material: Sn3Te
Method: DFT, PBE-GGA
State: optimized geometry

POSCAR file:
```
Sn3Te
1.0
4.423 0.000 0.000
0.000 6.222 0.000
0.000 0.000 4.433
Sn Te
3 1
Direct
0.000 0.000 0.000
0.000 0.500 0.009
0.500 0.000 0.501
0.500 0.500 0.506
```

Values from the calculation:
**Offset from the most stable computed form**: 0 meV per atom
**Formation energy (no corrections)**: -77 meV/atom
**Energy**: -3.86 eV/atom